# 1
PrY2Tl3Te6 after structural relaxation, computed with GGA-PBE.

Cell: 7.8013 7.8013 8.5824 Å, 98.73 98.73 119.98°
Atoms (fractional coordinates):
Pr 0.0000 0.0000 0.0000
Y 0.3329 0.6671 0.0000
Y 0.6671 0.3329 0.0000
Tl 0.1638 0.8362 0.5000
Tl 0.5000 0.5000 0.5000
Tl 0.8362 0.1638 0.5000
Te 0.0726 0.4148 0.2173
Te 0.2708 0.2708 0.7852
Te 0.4148 0.0726 0.2173
Te 0.5852 0.9274 0.7827
Te 0.7292 0.7292 0.2148
Te 0.9274 0.5852 0.7827

Properties
Spin magnetization   0.00 μB/cell
ΔE_f (raw)   -12.8 eV/f.u.
Space group   C2/m
Energy   -4.71 eV/atom

=====

# 2
PrZr2Tl3Te6 after structural relaxation, computed with GGA-PBE.

Cell: 7.3734 7.3734 8.7401 Å, 98.10 98.10 120.02°
Atoms (fractional coordinates):
Pr 0.0000 0.0000 0.0000
Zr 0.3307 0.6693 0.0000
Zr 0.6693 0.3307 0.0000
Tl 0.1561 0.8439 0.5000
Tl 0.5000 0.5000 0.5000
Tl 0.8439 0.1561 0.5000
Te 0.0731 0.4283 0.2166
Te 0.2874 0.2874 0.7918
Te 0.4283 0.0731 0.2166
Te 0.5717 0.9269 0.7834
Te 0.7126 0.7126 0.2082
Te 0.9269 0.5717 0.7834

Properties
Spin magnetization   0.00 μB/cell
ΔE_f (raw)   -9.1 eV/f.u.
Space group   C2/m
Energy   -4.75 eV/atom

=====

# 3
PrTm2Te after structural relaxation, computed with GGA-PBE.

Cell: 3.8638 3.8638 29.7884 Å, 90.00 90.00 120.00°
Atoms (fractional coordinates):
Pr 0.0000 0.0000 0.0000
Pr 0.3333 0.6667 0.6667
Pr 0.6667 0.3333 0.3333
Tm 0.0000 0.0000 0.2369
Tm 0.0000 0.0000 0.4294
Tm 0.3333 0.6667 0.0961
Tm 0.3333 0.6667 0.9035
Tm 0.6667 0.3333 0.5702
Tm 0.6667 0.3333 0.7628
Te 0.0000 0.0000 0.8333
Te 0.3333 0.6667 0.4999
Te 0.6667 0.3333 0.1666

Properties
Spin magnetization   0.00 μB/cell
ΔE_f (raw)   -2.0 eV/f.u.
ΔE to the lowest computed polymorph   0.138 eV per atom
Space group   R3m
Energy   -4.72 eV/atom

=====

# 4
PrTm5Te6 after structural relaxation, computed with GGA-PBE.

Cell: 7.5073 7.5073 7.4801 Å, 99.47 99.47 119.50°
Atoms (fractional coordinates):
Pr 0.0000 0.0000 0.0000
Tm 0.1503 0.8497 0.5000
Tm 0.3316 0.6684 0.0000
Tm 0.5000 0.5000 0.5000
Tm 0.6684 0.3316 0.0000
Tm 0.8497 0.1503 0.5000
Te 0.0871 0.4362 0.2623
Te 0.2680 0.2680 0.7550
Te 0.4362 0.0871 0.2623
Te 0.5638 0.9129 0.7377
Te 0.7320 0.7320 0.2450
Te 0.9129 0.5638 0.7377

Properties
Spin magnetization   0.00 μB/cell
ΔE_f (raw)   -14.6 eV/f.u.
Space group   C2/m
Energy   -5.05 eV/atom

=====

# 5
PrTm2Te after structural relaxation, computed with GGA-PBE.

Cell: 3.7744 3.7744 32.7850 Å, 90.00 90.00 120.00°
Atoms (fractional coordinates):
Pr 0.0000 0.0000 0.0000
Pr 0.3333 0.6667 0.6667
Pr 0.6667 0.3333 0.3333
Tm 0.0000 0.0000 0.1038
Tm 0.0000 0.0000 0.8962
Tm 0.3333 0.6667 0.5628
Tm 0.3333 0.6667 0.7705
Tm 0.6667 0.3333 0.2295
Tm 0.6667 0.3333 0.4372
Te 0.0000 0.0000 0.5000
Te 0.3333 0.6667 0.1667
Te 0.6667 0.3333 0.8333

Properties
Spin magnetization   0.99 μB/cell
ΔE_f (raw)   -0.9 eV/f.u.
ΔE to the lowest computed polymorph   0.421 eV per atom
Space group   R-3m
Energy   -4.43 eV/atom

=====

# 6
Pr4Tm3Te8 after structural relaxation, computed with GGA-PBE.

Cell: 8.8189 8.8189 8.8123 Å, 119.91 119.91 90.06°
Atoms (fractional coordinates):
Pr 0.0000 0.0000 0.0000
Pr 0.0000 0.0000 0.5000
Pr 0.0000 0.5000 0.0000
Pr 0.5000 0.0000 0.0000
Tm 0.0000 0.5000 0.5000
Tm 0.5000 0.0000 0.5000
Tm 0.5000 0.5000 0.0000
Te 0.2561 0.7439 0.0000
Te 0.2601 0.7399 0.5000
Te 0.2660 0.2660 0.0194
Te 0.2661 0.2661 0.5120
Te 0.7339 0.7339 0.4880
Te 0.7340 0.7340 0.9806
Te 0.7399 0.2601 0.5000
Te 0.7439 0.2561 0.0000

Properties
Spin magnetization   0.00 μB/cell
ΔE_f (raw)   -20.5 eV/f.u.
ΔE to the lowest computed polymorph   0.000 eV per atom
Space group   C2/m
Energy   -5.21 eV/atom

=====

# 7
PrTm2Te3 after structural relaxation, computed with GGA-PBE.

Cell: 7.8548 7.8548 10.6765 Å, 90.00 90.00 146.74°
Atoms (fractional coordinates):
Pr 0.2056 0.7944 0.7500
Pr 0.7944 0.2056 0.2500
Tm 0.0000 0.0000 0.0000
Tm 0.0000 0.0000 0.5000
Tm 0.4903 0.5097 0.7500
Tm 0.5097 0.4903 0.2500
Te 0.1348 0.8652 0.2500
Te 0.3637 0.6363 0.0499
Te 0.3637 0.6363 0.4501
Te 0.6363 0.3637 0.5499
Te 0.6363 0.3637 0.9501
Te 0.8652 0.1348 0.7500

Properties
Spin magnetization   0.00 μB/cell
ΔE_f (raw)   -6.8 eV/f.u.
ΔE to the lowest computed polymorph   0.117 eV per atom
Space group   Cmcm
Energy   -5.00 eV/atom

=====

# 8
PrTmTe after structural relaxation, computed with GGA-PBE.

Cell: 5.2103 5.2103 4.0184 Å, 90.00 90.00 120.00°
Atoms (fractional coordinates):
Pr 0.0000 0.0000 0.0000
Tm 0.6667 0.3333 0.4970
Te 0.3333 0.6667 0.3899

Properties
Spin magnetization   0.00 μB/cell
ΔE_f (raw)   -1.5 eV/f.u.
ΔE to the lowest computed polymorph   0.268 eV per atom
Space group   P3m1
Energy   -4.63 eV/atom